Entry 1:
Material: CdCoNiH6
Method: DFT, PBE-GGA
State: optimized geometry

Cell lengths 4.5004, 4.5000, 4.8967 Å; angles 62.76, 62.99, 60.06 degrees
Closest atoms and distances in Å follow each position.
Positions (direct):
Cd (0.0882, 0.0898, 0.1751)  9 H 2.15-2.39
Co (0.3170, 0.3169, 0.4931)  6 H 1.59-1.62
Ni (0.6594, 0.6593, 0.4667)  6 H 1.66-1.68
H (0.0829, 0.5315, 0.2437)  1 Co 1.62, 1 Ni 1.66
H (0.3548, 0.9153, 0.7114)  1 Co 1.59, 1 Ni 1.68
H (0.4667, 0.3520, 0.7107)  1 Co 1.59, 1 Ni 1.68
H (0.9174, 0.4654, 0.7112)  1 Co 1.59, 1 Ni 1.68
H (0.5298, 0.5852, 0.2441)  1 Co 1.61, 1 Ni 1.66
H (0.5836, 0.0847, 0.2440)  1 Co 1.61, 1 Ni 1.66

Summary:
- Electronic total energy: -3.706 eV per atom
- Total magnetic moment: 0.00 μB/cell
- Space group: P1, No. 1

Entry 2:
Material: Pr2S3
Method: DFT, PBE-GGA
State: optimized geometry

Cell lengths 4.0745, 10.8021, 11.1314 Å; angles 90.00, 90.00, 90.00 degrees
Closest atoms and distances in Å follow each position.
Positions (direct):
Pr (0.2500, 0.1863, 0.4915)  7 S 2.87-2.93
Pr (0.2500, 0.3137, 0.9915)  7 S 2.87-2.93
Pr (0.7500, 0.8137, 0.5085)  7 S 2.87-2.93
Pr (0.7500, 0.6863, 0.0085)  7 S 2.87-2.93
Pr (0.7500, 0.4948, 0.6919)  7 S 2.95-2.99
Pr (0.7500, 0.0052, 0.1919)  7 S 2.95-2.99
Pr (0.2500, 0.5052, 0.3081)  7 S 2.95-2.99
Pr (0.2500, 0.9948, 0.8081)  7 S 2.95-2.99
S (0.2500, 0.6263, 0.5459)  5 Pr 2.90-2.97
S (0.2500, 0.8737, 0.0459)  5 Pr 2.90-2.97
S (0.7500, 0.3737, 0.4541)  5 Pr 2.90-2.97
S (0.7500, 0.1263, 0.9541)  5 Pr 2.90-2.97
S (0.7500, 0.0552, 0.6208)  5 Pr 2.87-2.99
S (0.7500, 0.4448, 0.1208)  5 Pr 2.87-2.99
S (0.2500, 0.9448, 0.3792)  5 Pr 2.87-2.99
S (0.2500, 0.5552, 0.8792)  5 Pr 2.87-2.99
S (0.2500, 0.3005, 0.7298)  4 Pr 2.92-2.96, 1 S 3.22
S (0.2500, 0.1995, 0.2298)  4 Pr 2.92-2.96, 1 S 3.22
S (0.7500, 0.6995, 0.2702)  4 Pr 2.92-2.96, 1 S 3.22
S (0.7500, 0.8005, 0.7702)  4 Pr 2.92-2.96, 1 S 3.22

Summary:
- Electronic total energy: -6.446 eV per atom
- Total magnetic moment: 0.00 μB/cell
- Formation energy from raw total energies: -2.06 eV per atom
- Space group: Pnma, No. 62

Entry 3:
Material: KGe3F
Method: DFT, PBE-GGA
State: optimized geometry

Cell lengths 4.8451, 4.8451, 4.8451 Å; angles 90.00, 90.00, 90.00 degrees
Closest atoms and distances in Å follow each position.
Positions (direct):
Ge (0.0000, 0.5000, 0.0000)  2 F 2.42
Ge (0.0000, 0.0000, 0.5000)  2 F 2.42
Ge (0.5000, 0.0000, 0.0000)  2 F 2.42
K (0.5000, 0.5000, 0.5000)  12 Ge 3.43
F (0.0000, 0.0000, 0.0000)  6 Ge 2.42

Summary:
- Electronic total energy: -3.370 eV per atom
- Total magnetic moment: 0.00 μB/cell
- Formation energy from raw total energies: -0.01 eV per atom
- Distance to the lowest polymorph of the same formula: 0.000 eV per atom
- Space group: Pm-3m, No. 221

Entry 4:
Material: Be3BiN
Method: DFT, PBE-GGA
State: optimized geometry

Cell lengths 3.8707, 3.8707, 3.8707 Å; angles 90.00, 90.00, 90.00 degrees
Closest atoms and distances in Å follow each position.
Positions (direct):
Be (0.0000, 0.5000, 0.0000)  2 N 1.94
Be (0.0000, 0.0000, 0.5000)  2 N 1.94
Be (0.5000, 0.0000, 0.0000)  2 N 1.94
Bi (0.5000, 0.5000, 0.5000)  12 Be 2.74
N (0.0000, 0.0000, 0.0000)  6 Be 1.94

Summary:
- Electronic total energy: -4.360 eV per atom
- Total magnetic moment: 0.00 μB/cell
- Formation energy from raw total energies: 0.32 eV per atom
- Distance to the lowest polymorph of the same formula: 0.000 eV per atom
- Space group: Pm-3m, No. 221

Entry 5:
Material: YSbP2S
Method: DFT, PBE-GGA
State: optimized geometry

Cell lengths 5.2907, 5.2907, 5.0677 Å; angles 90.00, 90.00, 90.00 degrees
Closest atoms and distances in Å follow each position.
Positions (direct):
Y (0.0000, 0.0000, 0.0000)  2 S 2.53, 4 P 2.65
Sb (0.5000, 0.5000, 0.5000)  8 P 3.66, 4 S 3.74
S (0.0000, 0.0000, 0.5000)  2 Y 2.53
P (0.0000, 0.5000, 0.0000)  2 Y 2.65
P (0.5000, 0.0000, 0.0000)  2 Y 2.65

Summary:
- Electronic total energy: -4.695 eV per atom
- Total magnetic moment: 0.00 μB/cell
- Formation energy from raw total energies: 0.41 eV per atom
- Distance to the lowest polymorph of the same formula: 0.266 eV per atom
- Space group: P4/mmm, No. 123

Entry 6:
Material: La4Pr4Sc
Method: DFT, PBE-GGA
State: optimized geometry

Cell lengths 5.2086, 8.2126, 8.2126 Å; angles 84.23, 71.51, 71.51 degrees
Closest atoms and distances in Å follow each position.
Positions (direct):
La (0.0000, 0.6683, 0.3317)  1 Sc 3.65, 6 Pr 3.67-3.72, 5 La 3.70-3.71
La (0.0000, 0.3317, 0.6683)  1 Sc 3.65, 6 Pr 3.67-3.72, 5 La 3.70-3.71
La (0.6683, 0.3317, 0.3317)  1 Sc 3.65, 6 Pr 3.67-3.72, 5 La 3.70-3.71
La (0.3317, 0.6683, 0.6683)  1 Sc 3.65, 6 Pr 3.67-3.72, 5 La 3.70-3.71
Pr (0.3378, 0.3245, 0.0000)  4 Pr 3.57-3.78, 2 Sc 3.63, 6 La 3.67-3.72
Pr (0.6622, 0.6755, 0.0000)  4 Pr 3.57-3.78, 2 Sc 3.63, 6 La 3.67-3.72
Pr (0.6623, 0.0000, 0.6755)  4 Pr 3.57-3.78, 2 Sc 3.63, 6 La 3.67-3.72
Pr (0.3377, 0.0000, 0.3245)  4 Pr 3.57-3.78, 2 Sc 3.63, 6 La 3.67-3.72
Sc (0.0000, 0.0000, 0.0000)  8 Pr 3.63, 4 La 3.65

Summary:
- Electronic total energy: -4.986 eV per atom
- Total magnetic moment: 0.00 μB/cell
- Space group: I4/mmm, No. 139
- Energy of formation from the pure elements: 0.28 eV per formula unit

Entry 7:
Material: VNi2Pt2
Method: DFT, PBE-GGA
State: optimized geometry

Cell lengths 7.0958, 7.0958, 2.7837 Å; angles 90.00, 90.00, 90.00 degrees
Closest atoms and distances in Å follow each position.
Positions (direct):
Ni (0.1613, 0.6613, 0.5000)  6 Pt 2.45-2.54
Ni (0.6613, 0.8387, 0.5000)  6 Pt 2.45-2.54
Ni (0.8387, 0.3387, 0.5000)  6 Pt 2.45-2.54
Ni (0.3387, 0.1613, 0.5000)  6 Pt 2.45-2.54
Pt (0.3620, 0.8620, 0.0000)  6 Ni 2.45-2.54
Pt (0.8620, 0.6380, 0.0000)  6 Ni 2.45-2.54
Pt (0.6380, 0.1380, 0.0000)  6 Ni 2.45-2.54
Pt (0.1380, 0.3620, 0.0000)  6 Ni 2.45-2.54
V (0.0000, 0.0000, 0.0000)  4 Pt 2.75, 2 V 2.78, 8 Ni 3.00
V (0.5000, 0.5000, 0.0000)  4 Pt 2.75, 2 V 2.78, 8 Ni 3.00

Summary:
- Electronic total energy: -6.544 eV per atom
- Total magnetic moment: 0.00 μB/cell
- Distance to the lowest polymorph of the same formula: 0.340 eV per atom
- Space group: P4/mbm, No. 127
- Energy of formation from the pure elements: 0.04 eV per formula unit

Entry 8:
Material: La4AsAuSe2
Method: DFT, PBE-GGA
State: optimized geometry

Cell lengths 4.3218, 7.5607, 7.5779 Å; angles 70.97, 90.00, 90.00 degrees
Closest atoms and distances in Å follow each position.
Positions (direct):
La (0.0000, 0.7519, 0.7440)  1 As 3.06, 3 Se 3.06-3.11, 2 Au 3.11
La (0.0000, 0.2481, 0.2560)  1 As 3.06, 3 Se 3.06-3.11, 2 Au 3.11
La (0.5000, 0.7483, 0.2575)  3 Se 3.05-3.11, 2 As 3.05, 1 Au 3.12
La (0.5000, 0.2517, 0.7425)  3 Se 3.05-3.11, 2 As 3.05, 1 Au 3.12
As (0.0000, 0.5000, 0.5000)  6 La 3.05-3.06
Au (0.5000, 0.5000, 0.0000)  6 La 3.11-3.12
Se (0.0000, 0.0000, 0.0000)  6 La 3.11
Se (0.5000, 0.0000, 0.5000)  6 La 3.05-3.06

Summary:
- Electronic total energy: -5.893 eV per atom
- Total magnetic moment: 0.00 μB/cell
- Formation energy from raw total energies: -1.57 eV per atom
- Space group: P2/m, No. 10